This record from Alexandria describes a relaxed Pr3Nd2ScS6 crystal. The functional is PBE-GGA.

a = 4.010 Å, b = 8.128 Å, c = 9.001 Å
α = 103.21°, β = 102.87°, γ = 90.00°
Atoms (fractional coordinates):
S (0.656, 0.080, 0.313)
S (0.667, 0.582, 0.335)
S (0.333, 0.418, 0.665)
S (0.344, 0.920, 0.687)
S (0.001, 0.773, 0.003)
S (0.999, 0.227, 0.997)
Pr (0.830, 0.165, 0.660)
Pr (0.170, 0.835, 0.340)
Pr (0.500, 0.500, 0.000)
Nd (0.166, 0.333, 0.332)
Nd (0.834, 0.667, 0.668)
Sc (0.500, 0.000, 0.000)

Properties
The total energy comes out at -6.551 eV per atom. The formation energy (no corrections) comes out at -1.97 eV per atom.

---

This record from Alexandria describes a relaxed CsSc3Al crystal. The functional is PBE-GGA.

a = 5.455 Å, b = 5.455 Å, c = 5.455 Å
α = 90.00°, β = 90.00°, γ = 90.00°
Atoms (fractional coordinates):
Cs (0.500, 0.500, 0.500)
Sc (0.000, 0.500, 0.000)
Sc (0.500, 0.000, 0.000)
Sc (0.000, 0.000, 0.500)
Al (0.000, 0.000, 0.000)

Properties
The total energy comes out at -4.136 eV per atom. The energy above the lowest structure with this stoichiometry comes out at 0 kJ/mol of formula units. Its formation energy is 2.9 eV/f.u.

---

This record from Alexandria describes a relaxed KNaIn2Ni crystal. The functional is PBE-GGA.

a = 5.010 Å, b = 5.010 Å, c = 5.641 Å
α = 90.00°, β = 90.00°, γ = 90.00°
Atoms (fractional coordinates):
In (0.500, 0.000, 0.000)
In (0.000, 0.500, 0.000)
Na (0.000, 0.000, 0.500)
Ni (0.000, 0.000, 0.000)
K (0.500, 0.500, 0.500)

Properties
The total energy comes out at -2.795 eV per atom. The energy above the lowest structure with this stoichiometry comes out at 0 kJ/mol of formula units. Its formation energy is -0.3 eV/f.u.

---

This record from Alexandria describes a relaxed K2YSi crystal. The functional is PBE-GGA.

a = 3.348 Å, b = 3.348 Å, c = 12.453 Å
α = 90.00°, β = 90.00°, γ = 89.99°
Each line ends with the local moment (μB).
Atoms (fractional coordinates):
Y (0.500, 0.500, 0.750)  0.03
Si (0.500, 0.500, 0.250)  0.08
K (0.000, 0.000, 0.050)  0.01
K (0.000, 0.000, 0.450)  0.01

Properties
The total energy comes out at -2.913 eV per atom. The formation energy (no corrections) comes out at 0.61 eV per atom.

---

This record from Alexandria describes a relaxed Fe6NiGe crystal. The functional is PBE-GGA.

a = 3.818 Å, b = 4.189 Å, c = 6.884 Å
α = 84.22°, β = 73.90°, γ = 62.88°
Each line ends with the local moment (μB).
Atoms (fractional coordinates):
Fe (0.499, 0.252, 0.750)  2.40
Fe (0.752, 0.626, 0.870)  2.15
Fe (0.253, 0.874, 0.620)  2.49
Fe (0.248, 0.374, 0.130)  2.15
Fe (0.747, 0.126, 0.380)  2.49
Fe (0.501, 0.748, 0.250)  2.40
Ge (0.000, 0.000, 0.000)  -0.11
Ni (0.000, 0.500, 0.500)  0.79

Properties
The total energy comes out at -7.666 eV per atom. Its formation energy is -0.2 eV/f.u.

---

This record from Alexandria describes a relaxed SnSbH2 crystal. The functional is PBE-GGA.

a = 4.356 Å, b = 4.356 Å, c = 7.691 Å
α = 73.55°, β = 73.55°, γ = 90.00°
Atoms (fractional coordinates):
H (0.875, 0.914, 0.750)
H (0.664, 0.125, 0.250)
H (0.086, 0.625, 0.250)
H (0.375, 0.336, 0.750)
Sb (0.750, 0.250, 0.500)
Sb (0.000, 0.000, 0.000)
Sn (0.500, 0.500, 0.000)
Sn (0.250, 0.750, 0.500)

Properties
The total energy comes out at -3.207 eV per atom. The energy above the lowest structure with this stoichiometry comes out at 153 kJ/mol of formula units.